Entry 1:
DFT (PBE-GGA) results for Si2PbW after structural relaxation.

Lattice parameters (Å, degrees): 2.955 2.955 9.265 90.00 90.00 104.31
Sites, in units of the cell vectors:
Pb: 0.500 0.500 0.750
Si: 0.000 0.000 0.056
Si: 0.000 0.000 0.444
W: 0.500 0.500 0.250

Properties
- Space-group type: Cmmm (65)
- Raw formation energy: 1.9 eV per formula unit

=====

Entry 2:
DFT (PBE-GGA) results for SiPbW after structural relaxation.

Lattice parameters (Å, degrees): 5.457 5.457 5.457 143.88 143.88 52.01
Sites, in units of the cell vectors:
Pb: 0.001 0.001 0.000
Si: 0.296 0.296 0.000
W: 0.702 0.702 0.000

Properties
- Space-group type: I4mm (107)
- ΔE to the lowest computed polymorph: 0 meV per atom
- Raw formation energy: 1.4 eV per formula unit

=====

Entry 3:
DFT (PBE-GGA) results for SiPb2W after structural relaxation.

Lattice parameters (Å, degrees): 3.242 3.242 8.435 90.00 90.00 90.00
Sites, in units of the cell vectors:
Pb: 0.000 0.000 0.988
Pb: 0.000 0.000 0.512
Si: 0.500 0.500 0.250
W: 0.500 0.500 0.750

Properties
- Space-group type: P4/mmm (123)
- Raw formation energy: 4.3 eV per formula unit

=====

Entry 4:
DFT (PBE-GGA) results for Si2PbW after structural relaxation.

Lattice parameters (Å, degrees): 6.620 4.697 3.321 89.81 60.20 121.94
Sites, in units of the cell vectors:
Pb: 0.500 0.500 0.000
Si: 0.000 0.000 0.000
Si: 0.500 0.000 0.500
W: 0.000 0.500 0.500

Properties
- Space-group type: C2/m (12)
- Raw formation energy: 3.5 eV per formula unit

=====

Entry 5:
DFT (PBE-GGA) results for SiPbW4 after structural relaxation.

Lattice parameters (Å, degrees): 5.380 5.380 5.380 60.00 60.00 60.00
Sites, in units of the cell vectors:
Si: 0.000 0.000 0.000
Pb: 0.750 0.750 0.750
W: 0.875 0.375 0.375
W: 0.375 0.375 0.875
W: 0.375 0.875 0.375
W: 0.375 0.375 0.375

Properties
- Space-group type: F-43m (216)
- Raw formation energy: 5.3 eV per formula unit

=====

Entry 6:
DFT (PBE-GGA) results for Si2PbW after structural relaxation.

Lattice parameters (Å, degrees): 4.548 4.548 6.069 93.19 93.19 44.79
Sites, in units of the cell vectors:
Pb: 0.166 0.166 0.316
Si: 0.084 0.084 0.877
Si: 0.773 0.773 0.686
W: 0.476 0.476 0.620

Properties
- Space-group type: Cm (8)
- Raw formation energy: 1.7 eV per formula unit

=====

Entry 7:
DFT (PBE-GGA) results for SiPb2W after structural relaxation.

Lattice parameters (Å, degrees): 4.962 4.962 3.489 90.00 90.00 90.00
Sites, in units of the cell vectors:
Pb: 0.000 0.000 0.000
Pb: 0.500 0.500 0.000
Si: 0.500 0.000 0.500
W: 0.000 0.500 0.500

Properties
- Space-group type: P4/mmm (123)
- Raw formation energy: 4.4 eV per formula unit

=====

Entry 8:
DFT (PBE-GGA) results for SiPb2W after structural relaxation.

Lattice parameters (Å, degrees): 3.064 4.780 5.983 90.00 90.00 90.00
Sites, in units of the cell vectors:
Pb: 0.000 0.000 0.998
Pb: 0.000 0.000 0.502
Si: 0.500 0.500 0.250
W: 0.500 0.500 0.750

Properties
- Space-group type: Pmmm (47)
- Raw formation energy: 4.3 eV per formula unit

=====

Entry 9:
DFT (PBE-GGA) results for SiPb2W after structural relaxation.

Lattice parameters (Å, degrees): 5.294 5.294 5.294 128.55 128.55 75.74
Sites, in units of the cell vectors:
Pb: 0.000 0.000 0.000
Pb: 0.250 0.750 0.500
Si: 0.500 0.500 0.000
W: 0.750 0.250 0.500

Properties
- Space-group type: I-4m2 (119)
- Raw formation energy: 4.5 eV per formula unit

=====

Entry 10:
DFT (PBE-GGA) results for SiPb2W after structural relaxation.

Lattice parameters (Å, degrees): 3.302 3.302 8.518 90.00 90.00 90.00
Sites, in units of the cell vectors:
Pb: 0.000 0.000 0.938
Pb: 0.500 0.500 0.309
Si: 0.000 0.000 0.572
W: 0.500 0.500 0.682

Properties
- Space-group type: P4mm (99)
- Raw formation energy: 1.3 eV per formula unit

=====

Entry 11:
DFT (PBE-GGA) results for SiPb2W after structural relaxation.

Lattice parameters (Å, degrees): 6.343 6.343 7.800 66.01 66.01 90.00
Sites, in units of the cell vectors:
Pb: 0.620 0.125 0.250
Pb: 0.130 0.625 0.250
Pb: 0.375 0.380 0.750
Pb: 0.875 0.870 0.750
Si: 0.500 0.500 0.000
Si: 0.250 0.750 0.500
W: 0.000 0.000 0.000
W: 0.750 0.250 0.500

Properties
- Space-group type: I-42d (122)
- Raw formation energy: 6.0 eV per formula unit

=====

Entry 12:
DFT (PBE-GGA) results for SiPbW after structural relaxation.

Lattice parameters (Å, degrees): 4.297 4.297 3.743 90.00 90.00 120.00
Sites, in units of the cell vectors:
Pb: 0.000 0.000 0.000
Si: 0.333 0.667 0.500
W: 0.667 0.333 0.500

Properties
- Space-group type: P-6m2 (187)
- ΔE to the lowest computed polymorph: 209 meV per atom
- Raw formation energy: 2.0 eV per formula unit

=====

Entry 13:
DFT (PBE-GGA) results for Si2PbW after structural relaxation.

Lattice parameters (Å, degrees): 5.207 5.207 5.207 133.92 133.92 67.21
Sites, in units of the cell vectors:
Pb: 0.750 0.250 0.500
Si: 0.000 0.000 0.000
Si: 0.250 0.750 0.500
W: 0.500 0.500 0.000

Properties
- Space-group type: I-4m2 (119)
- Raw formation energy: 4.0 eV per formula unit

=====

Entry 14:
DFT (PBE-GGA) results for SiPbW after structural relaxation.

Lattice parameters (Å, degrees): 3.225 3.225 6.552 90.00 90.00 120.00
Sites, in units of the cell vectors:
Pb: 0.000 0.000 0.993
Si: 0.333 0.667 0.379
W: 0.667 0.333 0.628

Properties
- Space-group type: P3m1 (156)
- ΔE to the lowest computed polymorph: 105 meV per atom
- Raw formation energy: 1.7 eV per formula unit

=====

Entry 15:
DFT (PBE-GGA) results for Si2PbW after structural relaxation.

Lattice parameters (Å, degrees): 5.180 5.180 5.180 140.96 121.34 72.73
Sites, in units of the cell vectors:
Pb: 0.250 0.750 0.500
Si: 0.981 0.981 0.000
Si: 0.519 0.519 0.000
W: 0.750 0.250 0.500

Properties
- Space-group type: Immm (71)
- Raw formation energy: 3.1 eV per formula unit

=====

Entry 16:
DFT (PBE-GGA) results for SiPb2W after structural relaxation.

Lattice parameters (Å, degrees): 5.029 3.726 6.090 56.14 90.00 90.00
Sites, in units of the cell vectors:
Pb: 0.000 0.780 0.996
Pb: 0.000 0.720 0.504
Si: 0.500 0.250 0.250
W: 0.500 0.750 0.750

Properties
- Space-group type: P2/m (10)
- Raw formation energy: 3.8 eV per formula unit

=====

Entry 17:
DFT (PBE-GGA) results for SiPb2W after structural relaxation.

Lattice parameters (Å, degrees): 5.408 5.408 3.065 90.00 90.00 105.63
Sites, in units of the cell vectors:
Pb: 0.000 0.000 0.000
Pb: 0.500 0.500 0.000
Si: 0.500 0.000 0.500
W: 0.000 0.500 0.500

Properties
- Space-group type: Cmmm (65)
- Raw formation energy: 4.3 eV per formula unit

=====

Entry 18:
DFT (PBE-GGA) results for SiPb2W after structural relaxation.

Lattice parameters (Å, degrees): 8.598 8.598 3.766 77.43 77.43 21.51
Sites, in units of the cell vectors:
Pb: 0.089 0.089 0.910
Pb: 0.411 0.411 0.590
Si: 0.250 0.250 0.250
W: 0.750 0.750 0.750

Properties
- Space-group type: C2/m (12)
- Raw formation energy: 1.7 eV per formula unit

=====

Entry 19:
DFT (PBE-GGA) results for Si2PbW after structural relaxation.

Lattice parameters (Å, degrees): 5.173 5.173 5.173 141.75 123.38 70.40
Sites, in units of the cell vectors:
Pb: 0.239 0.739 0.500
Si: 0.971 0.971 0.000
Si: 0.763 0.263 0.500
W: 0.527 0.527 0.000

Properties
- Space-group type: Imm2 (44)
- Raw formation energy: 2.9 eV per formula unit

=====

Entry 20:
DFT (PBE-GGA) results for SiPbW after structural relaxation.

Lattice parameters (Å, degrees): 7.494 7.315 2.998 81.71 74.98 23.31
Sites, in units of the cell vectors:
Pb: 0.991 0.991 0.009
Si: 0.693 0.693 0.307
W: 0.316 0.316 0.684

Properties
- Space-group type: Fmm2 (42)
- ΔE to the lowest computed polymorph: 230 meV per atom
- Raw formation energy: 2.1 eV per formula unit